# PBE Ac3In2Pd6Pb, optimized geometry
# * E_form: -0.628 eV/atom
# * SG: P-3m1
# * volume: 289 Å³/cell
# * Fermi-level density of states: 3.5 states/eV per cell
# * electronic total energy: -0.369 Ry per atom
data_Ac3In2Pd6Pb
_chemical_formula_sum 'Ac3 In2 Pd6 Pb1'
_symmetry_space_group_name_H-M 'P 1'
_symmetry_Int_Tables_number 1
_cell_length_a 6.062
_cell_length_b 6.062
_cell_length_c 9.095
_cell_angle_alpha 90.00
_cell_angle_beta 90.00
_cell_angle_gamma 120.00
loop_
_symmetry_equiv_pos_as_xyz
'x,y,z'
loop_
_atom_site_label
_atom_site_fract_x
_atom_site_fract_y
_atom_site_fract_z
Ac1 0.333 0.667 0.621
Ac2 0.667 0.333 0.379
Ac3 0.000 0.000 0.000
In1 0.667 0.333 0.987
In2 0.333 0.667 0.013
Pd1 0.643 0.822 0.270
Pd2 0.178 0.357 0.270
Pd3 0.178 0.822 0.270
Pd4 0.822 0.643 0.730
Pd5 0.357 0.178 0.730
Pd6 0.822 0.178 0.730
Pb1 0.000 0.000 0.500

=====

# PBE BaMgCl2, optimized geometry
# * energy above the most stable polymorph in this dataset: 0.058 eV per atom
# * E_form (uncorrected): -1.446 eV per atom
# * SG: P2/m
# * volume: 154 Å³/cell
# * Fermi-level density of states: 0.9 states/eV per cell
# * electronic total energy: -0.239 Ry per atom
data_BaMgCl2
_chemical_formula_sum 'Ba1 Mg1 Cl2'
_symmetry_space_group_name_H-M 'P 1'
_symmetry_Int_Tables_number 1
_cell_length_a 3.875
_cell_length_b 3.859
_cell_length_c 10.270
_cell_angle_alpha 89.72
_cell_angle_beta 90.00
_cell_angle_gamma 90.00
loop_
_symmetry_equiv_pos_as_xyz
'x,y,z'
loop_
_atom_site_label
_atom_site_fract_x
_atom_site_fract_y
_atom_site_fract_z
Ba1 0.500 0.750 0.750
Cl1 0.000 0.248 0.913
Cl2 0.000 0.252 0.587
Mg1 0.500 0.250 0.250

=====

Question: The lowest volume belongs to which entry?
Answer: BaMgCl2

=====

Question: Look up the electronic total energy of the second one.
Answer: -0.239 Ry per atom

=====

Copy entry 1 word for word.
# PBE Ac3In2Pd6Pb, optimized geometry
# * E_form: -0.628 eV/atom
# * SG: P-3m1
# * volume: 289 Å³/cell
# * Fermi-level density of states: 3.5 states/eV per cell
# * electronic total energy: -0.369 Ry per atom
data_Ac3In2Pd6Pb
_chemical_formula_sum 'Ac3 In2 Pd6 Pb1'
_symmetry_space_group_name_H-M 'P 1'
_symmetry_Int_Tables_number 1
_cell_length_a 6.062
_cell_length_b 6.062
_cell_length_c 9.095
_cell_angle_alpha 90.00
_cell_angle_beta 90.00
_cell_angle_gamma 120.00
loop_
_symmetry_equiv_pos_as_xyz
'x,y,z'
loop_
_atom_site_label
_atom_site_fract_x
_atom_site_fract_y
_atom_site_fract_z
Ac1 0.333 0.667 0.621
Ac2 0.667 0.333 0.379
Ac3 0.000 0.000 0.000
In1 0.667 0.333 0.987
In2 0.333 0.667 0.013
Pd1 0.643 0.822 0.270
Pd2 0.178 0.357 0.270
Pd3 0.178 0.822 0.270
Pd4 0.822 0.643 0.730
Pd5 0.357 0.178 0.730
Pd6 0.822 0.178 0.730
Pb1 0.000 0.000 0.500

=====

Question: Among the records above, which one has the highest volume?
Answer: Ac3In2Pd6Pb